Entry 1:
Below is a relaxed KAlAs crystal, with properties calculated at the PBE level.

abc: 4.0886 5.6856 7.8274
angles: 100.84 90.09 111.02
Space group P1 (No. 1)
Symmetry-distinct sites (fractional):
K  0.0000  0.0000  0.0000 x1
K  0.3015  0.5992  0.2719 x1
Al  0.2544  0.5112  0.7149 x1
Al  0.5019  0.0066  0.6431 x1
As  0.0485  0.1007  0.4702 x1
As  0.7020  0.4051  0.8908 x1

Raw total energy ... -0.1323 Ha/atom

=====

Entry 2:
Below is a relaxed TlWSe2 crystal, with properties calculated at the PBE level.

abc: 3.0838 3.0838 9.3394
angles: 90.00 90.00 90.00
Space group P4mm (No. 99)
Symmetry-distinct sites (fractional):
Tl  0.0000  0.0000  0.0000 x1
W  0.5000  0.5000  0.2378 x1
Se  0.0000  0.0000  0.3895 x1
Se  0.5000  0.5000  0.7271 x1

Raw total energy ... -0.1906 Ha/atom
Formation energy without anion corrections ... 385 meV/atom
Energy above the lowest structure with this stoichiometry ... 587.9 meV/atom

=====

Entry 3:
Below is a relaxed ErCuSi2Pt2 crystal, with properties calculated at the PBE level.

abc: 4.1790 4.1790 6.5865
angles: 90.00 90.00 120.00
Space group P-3m1 (No. 164)
Symmetry-distinct sites (fractional):
Er  0.0000  0.0000  0.0000 x1
Cu  0.0000  0.0000  0.5000 x1
Si  0.3333  0.6667  0.6994 x2
Pt  0.3333  0.6667  0.3000 x2

Raw total energy ... -0.2241 Ha/atom
Formation energy without anion corrections ... -834 meV/atom